A plane-wave DFT calculation with PBE was carried out for Cs2TlHg2 after structural relaxation.

## Properties
Distance to the lowest polymorph of the same formula   153 meV/atom
D(E_F)   8.6 states/eV/cell
Total energy   -9.8 eV per cell
Size of the total moment   0.00 μB per cell
Symmetry   P4/mbm (127)
Calculated formation energy   -0.047 eV per atom

Cell: 10.8455 10.8455 4.0016 Å, 90.00 90.00 90.00°
Atoms (fractional coordinates):
Cs1 0.8136 0.3136 0.0000
Cs2 0.6864 0.8136 0.0000
Cs3 0.1864 0.6864 0.0000
Cs4 0.3136 0.1864 0.0000
Tl1 0.0000 0.0000 0.0000
Tl2 0.5000 0.5000 0.0000
Hg1 0.6036 0.1036 0.5000
Hg2 0.8964 0.6036 0.5000
Hg3 0.3964 0.8964 0.5000
Hg4 0.1036 0.3964 0.5000